# 1
Computed, not measured: an optimized crystal structure of Tb7Dy4Ho2 at the PBE level of DFT.

DOS at the Fermi energy ... 17.12 states/eV per cell
Crystal system ... trigonal
Electronic total energy ... -4.447 eV/atom
E_form ... 2.2 eV per formula unit

a = 6.058 Å, b = 6.058 Å, c = 13.129 Å
α = 90.00°, β = 90.00°, γ = 120.00°
Fractional coordinates of all 13 atoms:
1 Tb 0.000 0.000 0.000
2 Tb 0.000 0.361 0.217
3 Tb 0.000 0.639 0.783
4 Tb 0.361 0.000 0.217
5 Tb 0.361 0.361 0.783
6 Tb 0.639 0.000 0.783
7 Tb 0.639 0.639 0.217
8 Dy 0.000 0.000 0.393
9 Dy 0.000 0.000 0.607
10 Dy 0.333 0.667 0.500
11 Dy 0.667 0.333 0.500
12 Ho 0.333 0.667 0.000
13 Ho 0.667 0.333 0.000

# 2
Computed, not measured: an optimized crystal structure of CsCd2AgCl8 at the PBE level of DFT.

Formation energy without anion corrections ... -921 meV per atom
Crystal system ... triclinic
Electronic total energy ... -2.613 eV/atom

a = 6.653 Å, b = 7.102 Å, c = 9.811 Å
α = 79.36°, β = 80.63°, γ = 65.34°
Fractional coordinates of all 12 atoms:
1 Cs 0.000 0.000 0.000
2 Cd 0.446 0.445 0.681
3 Cd 0.554 0.555 0.319
4 Ag 0.000 0.000 0.500
5 Cl 0.005 0.746 0.694
6 Cl 0.069 0.758 0.346
7 Cl 0.399 0.310 0.922
8 Cl 0.472 0.261 0.475
9 Cl 0.528 0.739 0.525
10 Cl 0.601 0.690 0.078
11 Cl 0.931 0.242 0.654
12 Cl 0.995 0.254 0.306

# 3
Computed, not measured: an optimized crystal structure of V2CrCuNi at the PBE level of DFT.

DOS at the Fermi energy ... 5.05 states/eV per cell
Crystal system ... tetragonal
Electronic total energy ... -6.453 eV/atom
E_form ... 5.5 eV per formula unit

a = 4.128 Å, b = 4.128 Å, c = 4.480 Å
α = 90.00°, β = 90.00°, γ = 90.00°
Fractional coordinates of all 5 atoms:
1 V 0.000 0.500 0.000
2 V 0.500 0.000 0.000
3 Cr 0.000 0.000 0.000
4 Cu 0.000 0.000 0.500
5 Ni 0.500 0.500 0.500

Q: Look up the electronic total energy of the third one.
A: -6.453 eV/atom

Q: Number 1 is which compound?
A: Tb7Dy4Ho2

Q: The lowest electronic total energy belongs to which entry?
A: V2CrCuNi